A plane-wave DFT calculation with GGA-PBE was carried out for a relaxed structure of PaInI4.

The calculation puts the uncorrected formation energy at -697 meV per atom. As for the spin magnetization: 2.00 μB/f.u. Its total energy is -3.77 eV per atom.

The structure belongs to space group C2/c (No. 15); the cell edges are 9.5018, 19.2047 and 7.5083 Å and the angles 90.00°, 121.13° and 90.00°. The asymmetric unit holds Pa at (0.0000, 0.0500, 0.2500), In at (0.0000, 0.2061, 0.7500), I at (0.2267, 0.0655, 0.7363) and I at (0.2342, 0.1628, 0.2608).